w | First-principles (PBE-GGA) data for an optimized crystal structure of Dy2YSn, as listed in Alexandria.

```
Dy2YSn
1.0
3.513 0.000 0.000
-1.757 3.043 0.000
0.000 0.000 35.804
Dy Y Sn
6 3 3
Direct
0.000 0.000 0.087
0.000 0.000 0.913
0.333 0.667 0.580
0.333 0.667 0.754
0.667 0.333 0.246
0.667 0.333 0.420
0.000 0.000 0.500
0.333 0.667 0.167
0.667 0.333 0.833
0.000 0.000 0.000
0.333 0.667 0.667
0.667 0.333 0.333
```

Values from the calculation:
SG ... R-3m
V ... 383 Å³/cell
Total moment ... 0.00 μB per formula unit

x | First-principles (PBE-GGA) data for an optimized crystal structure of Dy2YSn, as listed in Alexandria.

```
Dy2YSn
1.0
4.249 0.000 0.000
0.000 12.274 0.000
0.000 0.000 9.451
Dy Y Sn
8 4 4
Direct
0.000 0.136 0.054
0.000 0.136 0.446
0.000 0.864 0.554
0.000 0.864 0.946
0.500 0.364 0.554
0.500 0.364 0.946
0.500 0.636 0.054
0.500 0.636 0.446
0.000 0.441 0.250
0.000 0.559 0.750
0.500 0.059 0.750
0.500 0.941 0.250
0.000 0.253 0.750
0.000 0.747 0.250
0.500 0.247 0.250
0.500 0.753 0.750
```

Values from the calculation:
SG ... Cmcm
V ... 493 Å³/cell
Total moment ... 0.00 μB per formula unit

If we sort the structures by their calculated energies, the order from most to least stable is x, w.

w | First-principles (PBE-GGA) data for an optimized crystal structure of Dy2Zn3Sn, as listed in Alexandria.

```
Dy2Zn3Sn
1.0
0.000 4.545 7.875
3.605 0.000 7.875
3.605 4.545 0.000
Dy Zn Sn
4 6 2
Direct
0.243 0.757 0.757
0.250 0.250 0.250
0.750 0.750 0.750
0.757 0.243 0.243
0.161 0.161 0.839
0.163 0.677 0.323
0.323 0.837 0.163
0.677 0.163 0.837
0.837 0.323 0.677
0.839 0.839 0.161
0.334 0.334 0.666
0.666 0.666 0.334
```

Values from the calculation:
SG ... Fmmm
V ... 258 Å³/cell
Total moment ... 0.00 μB per formula unit

x | First-principles (PBE-GGA) data for an optimized crystal structure of Dy2Zn3Sn, as listed in Alexandria.

```
Dy2Zn3Sn
1.0
3.607 0.000 0.000
0.000 4.526 0.000
0.000 0.000 7.906
Dy Zn Sn
2 3 1
Direct
0.000 0.000 0.000
0.000 0.500 0.476
0.500 0.000 0.315
0.500 0.000 0.633
0.500 0.500 0.168
0.500 0.500 0.821
```

Values from the calculation:
SG ... Pmm2
V ... 129 Å³/cell
Total moment ... 0.00 μB per formula unit

If we sort the structures by their calculated energies, the order from most to least stable is w, x.

w | First-principles (PBE-GGA) data for an optimized crystal structure of DyZrSn2, as listed in Alexandria.

```
DyZrSn2
1.0
3.894 0.000 0.000
0.000 3.894 0.000
0.000 0.000 6.519
Dy Zr Sn
1 1 2
Direct
0.000 0.000 0.000
0.000 0.000 0.500
0.500 0.500 0.271
0.500 0.500 0.729
```

Values from the calculation:
SG ... P4/mmm
V ... 99 Å³/cell
Total moment ... 0.00 μB per formula unit

x | First-principles (PBE-GGA) data for an optimized crystal structure of DyZrSn2, as listed in Alexandria.

```
DyZrSn2
1.0
3.387 0.000 0.000
-1.694 2.933 0.000
0.000 0.000 30.258
Dy Zr Sn
3 3 6
Direct
0.000 0.000 0.000
0.333 0.667 0.667
0.667 0.333 0.333
0.000 0.000 0.500
0.333 0.667 0.167
0.667 0.333 0.833
0.000 0.000 0.246
0.000 0.000 0.754
0.333 0.667 0.420
0.333 0.667 0.913
0.667 0.333 0.087
0.667 0.333 0.580
```

Values from the calculation:
SG ... R-3m
V ... 301 Å³/cell
Total moment ... 0.00 μB per formula unit

If we sort the structures by their calculated energies, the order from most to least stable is w, x.